[1]
The following is a DFT calculation (PBE) of HfGaPdS2 after structural relaxation.

ΔE_f (raw)   1.249 eV per formula unit
Mass density   7.059 g/cm³
DFT total energy   -25.18 eV per cell
Volume   99 Å³/cell
Symmetry   P4/mmm (123)
Total magnetization   0.000 μB per cell

Cell lengths 4.584, 4.687, 4.584 Å; angles 90.00, 90.00, 90.00 degrees
Atoms (fractional coordinates):
S: 0.000 0.000 0.500
S: 0.500 0.000 0.000
Ga: 0.000 0.000 0.000
Hf: 0.500 0.500 0.500
Pd: 0.000 0.500 0.000

=====

[2]
The following is a DFT calculation (PBE) of LiAl2Ru after structural relaxation.

ΔH_f (0 K)   -1.875 eV/f.u.
Mass density   4.912 g/cm³
DFT total energy   -20.55 eV per cell
Volume   55 Å³/cell
Symmetry   P4/mmm (123)
Total magnetization   0.000 μB per cell

Cell lengths 4.248, 3.033, 4.249 Å; angles 90.00, 90.00, 90.00 degrees
Atoms (fractional coordinates):
Li: 0.000 0.625 0.375
Al: 0.000 0.125 0.875
Al: 0.500 0.125 0.375
Ru: 0.500 0.625 0.875

=====

[3]
The following is a DFT calculation (PBE) of Li2PmMgCd4 after structural relaxation.

ΔH_f (0 K)   -1.688 eV/f.u.
Mass density   5.842 g/cm³
DFT total energy   -15.52 eV per cell
Volume   180 Å³/cell
Symmetry   R-3m (166)
Total magnetization   0.000 μB per cell

Cell lengths 4.788, 4.788, 9.472 Å; angles 75.36, 75.36, 60.00 degrees
Atoms (fractional coordinates):
Cd: 0.392 0.392 0.823
Cd: 0.124 0.124 0.629
Cd: 0.876 0.876 0.371
Cd: 0.608 0.608 0.177
Li: 0.240 0.240 0.281
Li: 0.760 0.760 0.719
Mg: 0.500 0.500 0.500
Pm: 0.000 0.000 0.000